No. 1
{"formula": "SrHfTa3", "functional": "PBE", "state": "relaxed", "e_tot_ev_per_atom": -6.844, "e_form_ev_per_atom": 2.5946, "n_ef_per_ev_atom": 1.319, "relative_energy_ev_per_fu": 5.060, "lattice_angstrom": [[4.8745, 0.0000, 0.0000], [0.0000, 4.8745, 0.0000], [0.0000, 0.0000, 4.8745]], "species": ["Sr", "Hf", "Ta", "Ta", "Ta"], "frac_coords": [[0.0000, 0.0000, 0.0000], [0.5000, 0.5000, 0.5000], [0.0000, 0.5000, 0.0000], [0.0000, 0.0000, 0.5000], [0.5000, 0.0000, 0.0000]]}

=====

No. 2
{"formula": "KHgPd3", "functional": "PBE", "state": "relaxed", "e_tot_ev_per_atom": -2.205, "e_form_ev_per_atom": 1.1907, "n_ef_per_ev_atom": 0.478, "relative_energy_ev_per_fu": 5.713, "lattice_angstrom": [[-4.1960, -2.2473, -1.5588], [1.8577, -0.2469, -4.6448], [2.0072, -4.4693, 1.0404]], "species": ["K", "Hg", "Pd", "Pd", "Pd"], "frac_coords": [[0.0000, 0.0000, 0.0000], [0.5000, 0.5000, 0.5000], [0.0000, 0.5000, 0.0000], [0.0000, 0.0000, 0.5000], [0.5000, 0.0000, 0.0000]]}

=====

No. 3
{"formula": "Tb6CdAg2", "functional": "PBE", "state": "relaxed", "e_tot_ev_per_atom": -3.990, "e_form_ev_per_atom": -0.1683, "n_ef_per_ev_atom": 1.079, "lattice_angstrom": [[8.6940, 0.2694, -0.0533], [-3.0447, 8.1479, 0.0533], [-3.0595, -4.0510, 7.0632]], "species": ["Tb", "Tb", "Tb", "Tb", "Tb", "Tb", "Tb", "Tb", "Tb", "Tb", "Tb", "Tb", "Cd", "Cd", "Ag", "Ag", "Ag", "Ag"], "frac_coords": [[0.5505, 0.7295, 0.8210], [0.4495, 0.2705, 0.1790], [0.0916, 0.2705, 0.8210], [0.9084, 0.7295, 0.1790], [0.8001, 0.7529, 0.5530], [0.1999, 0.2471, 0.4470], [0.1999, 0.7529, 0.9529], [0.8001, 0.2471, 0.0471], [0.7211, 0.3975, 0.6764], [0.2789, 0.6025, 0.3236], [0.2789, 0.9553, 0.6764], [0.7211, 0.0447, 0.3236], [0.0000, 0.5000, 0.5000], [0.0000, 0.0000, 0.0000], [0.5000, 0.3659, 0.8659], [0.5000, 0.6341, 0.1341], [0.6458, 0.0000, 0.6458], [0.3542, 0.0000, 0.3542]]}

=====

No. 4
{"formula": "ThMgPd14", "functional": "PBE", "state": "relaxed", "e_tot_ev_per_atom": -5.468, "e_form_ev_per_atom": -0.3613, "n_ef_per_ev_atom": 1.455, "lattice_angstrom": [[5.7486, -0.0122, 0.0000], [0.0122, 5.7486, 0.0000], [0.0000, 0.0000, 7.9025]], "species": ["Th", "Mg", "Pd", "Pd", "Pd", "Pd", "Pd", "Pd", "Pd", "Pd", "Pd", "Pd", "Pd", "Pd", "Pd", "Pd"], "frac_coords": [[0.8750, 0.8750, 0.5000], [0.3750, 0.3750, 0.5000], [0.8750, 0.8750, 0.0000], [0.3750, 0.3750, 0.0000], [0.8750, 0.3750, 0.5000], [0.8750, 0.3750, 0.0000], [0.3750, 0.8750, 0.5000], [0.3750, 0.8750, 0.0000], [0.6220, 0.1280, 0.2444], [0.6220, 0.1280, 0.7556], [0.1280, 0.6220, 0.2444], [0.1280, 0.6220, 0.7556], [0.6220, 0.6220, 0.2444], [0.6220, 0.6220, 0.7556], [0.1280, 0.1280, 0.2444], [0.1280, 0.1280, 0.7556]]}

=====

No. 5
{"formula": "AcNdP2Rh5", "functional": "PBE", "state": "relaxed", "e_tot_ev_per_atom": -7.061, "e_form_ev_per_atom": -0.7888, "n_ef_per_ev_atom": 0.563, "lattice_angstrom": [[-3.9889, 0.9360, 0.5196], [-0.1785, -2.5578, 3.2378], [2.7650, 8.1326, 6.5772]], "species": ["Ac", "Nd", "P", "P", "Rh", "Rh", "Rh", "Rh", "Rh"], "frac_coords": [[0.0000, 0.0000, 0.5000], [0.0000, 0.0000, 0.0000], [0.5000, 0.5000, 0.2879], [0.5000, 0.5000, 0.7121], [0.0000, 0.5000, 0.2005], [0.5000, 0.0000, 0.2005], [0.0000, 0.5000, 0.7995], [0.5000, 0.0000, 0.7995], [0.5000, 0.5000, 0.5000]]}

=====

No. 6
{"formula": "CaPm3Sn3", "functional": "PBE", "state": "relaxed", "e_tot_ev_per_atom": -4.594, "e_form_ev_per_atom": -0.5564, "n_ef_per_ev_atom": 0.830, "lattice_angstrom": [[-1.4173, 4.1595, 8.3785], [-8.8063, 1.7456, 2.9854], [-3.5876, -3.6934, 6.5684]], "species": ["Ca", "Ca", "Pm", "Pm", "Pm", "Pm", "Pm", "Pm", "Sn", "Sn", "Sn", "Sn", "Sn", "Sn"], "frac_coords": [[0.3315, 0.3315, 0.0054], [0.6685, 0.6685, 0.9946], [0.3809, 0.7912, 0.7330], [0.7912, 0.0949, 0.7330], [0.0949, 0.3809, 0.7330], [0.9051, 0.6191, 0.2670], [0.2088, 0.9051, 0.2670], [0.6191, 0.2088, 0.2670], [0.2825, 0.5576, 0.2326], [0.9273, 0.2825, 0.2326], [0.5576, 0.9273, 0.2326], [0.4424, 0.0727, 0.7674], [0.0727, 0.7175, 0.7674], [0.7175, 0.4424, 0.7674]]}